No. 1
Entry from Alexandria via LeMat-Bulk: a relaxed structure of Si3Ru5 (GGA-PBEsol).

Cell: 9.116 9.116 4.957 Å, 90.00 90.00 90.00°
Space group I4/mcm (No. 140)
Asymmetric unit:
Si  0.000  0.000  0.250 (multiplicity 4)
Si  0.165  0.335  0.000 (multiplicity 8)
Ru  0.000  0.500  0.250 (multiplicity 4)
Ru  0.076  0.216  0.500 (multiplicity 16)

Computed properties:
- Crystal system: tetragonal
- E_form (uncorrected): -0.412 eV/atom
- Size of the total moment: 0.00 μB per formula unit
- Energy: -8.925 eV/atom

***

No. 2
Entry from Alexandria via LeMat-Bulk: a relaxed structure of Si4Ru (GGA-PBEsol).

Cell: 3.170 3.170 14.608 Å, 90.00 90.00 90.00°
Space group I4/mmm (No. 139)
Asymmetric unit:
Si  0.000  0.000  0.093 (multiplicity 4)
Si  0.000  0.500  0.250 (multiplicity 4)
Ru  0.000  0.000  0.500 (multiplicity 2)

Computed properties:
- Crystal system: tetragonal
- E_form (uncorrected): 0.267 eV/atom
- Size of the total moment: 0.00 μB per formula unit
- Energy: -6.365 eV/atom